The following is a DFT calculation (PBE-GGA) of a relaxed structure of ScPbBr2.

**Polymorph energy (0 for the lowest one)**: 355 meV/atom
**Theoretical density**: 6.26 g cm⁻³
**Calculated volume**: 109.3 Å³/cell
**Raw formation energy**: -2.51 eV per formula unit
**N(E_F)**: 2.41 states/eV/cell
**Electronic total energy**: -3.973 eV/atom

abc: 4.7950 3.8272 5.9689
angles: 86.35 90.00 90.00
Fractional positions:
Br: 0.0000 0.9300 0.9805
Br: 0.0000 0.5700 0.5195
Sc: 0.5000 0.7500 0.7500
Pb: 0.5000 0.2500 0.2500